Entry 1:
Material: TmMnH3
Method: DFT, GGA-PBE
State: optimized geometry

```
data_TmMnH3
_chemical_formula_sum 'Tm1 Mn1 H3'
_symmetry_space_group_name_H-M 'P m -3 m'
_symmetry_Int_Tables_number 221
_symmetry_space_group_name_Hall '-P 4 2 3'
_cell_length_a 3.5101
_cell_length_b 3.5101
_cell_length_c 3.5101
_cell_angle_alpha 90.00
_cell_angle_beta 90.00
_cell_angle_gamma 90.00
loop_
_atom_site_label
_atom_site_type_symbol
_atom_site_fract_x
_atom_site_fract_y
_atom_site_fract_z
Tm1 Tm 0.0000 0.0000 0.0000
Mn1 Mn 0.5000 0.5000 0.5000
H1 H 0.0000 0.5000 0.5000
```

Values from the calculation:
Total energy (eV/atom): -5.11

Entry 2:
Material: Li2Cd5Sn
Method: DFT, GGA-PBE
State: optimized geometry

```
data_Li2Cd5Sn
_chemical_formula_sum 'Li4 Cd10 Sn2'
_symmetry_space_group_name_H-M 'P b a m'
_symmetry_Int_Tables_number 55
_cell_length_a 6.2745
_cell_length_b 12.4213
_cell_length_c 4.3501
_cell_angle_alpha 90.00
_cell_angle_beta 90.00
_cell_angle_gamma 90.00
loop_
_symmetry_equiv_pos_as_xyz
'x,y,z'
'-x,-y,-z'
'-x,-y,z'
'x,y,-z'
'x+1/2,-y+1/2,-z'
'-x+1/2,y+1/2,z'
'-x+1/2,y+1/2,-z'
'x+1/2,-y+1/2,z'
loop_
_atom_site_label
_atom_site_type_symbol
_atom_site_fract_x
_atom_site_fract_y
_atom_site_fract_z
Li1 Li 0.2433 0.1224 0.0000
Cd1 Cd 0.0000 0.5000 0.5000
Cd2 Cd 0.0110 0.7470 0.5000
Cd3 Cd 0.2357 0.3703 0.0000
Sn1 Sn 0.0000 0.0000 0.5000
```

Values from the calculation:
Calculated formation energy (eV/f.u.): -1.28

Entry 3:
Material: Pm2Er2Zn
Method: DFT, GGA-PBE
State: optimized geometry

```
data_Pm2Er2Zn
_chemical_formula_sum 'Pm4 Er4 Zn2'
_symmetry_space_group_name_H-M 'I 4/m m m'
_symmetry_Int_Tables_number 139
_symmetry_space_group_name_Hall '-I 4 2'
_cell_length_a 3.5653
_cell_length_b 3.5653
_cell_length_c 22.6113
_cell_angle_alpha 90.00
_cell_angle_beta 90.00
_cell_angle_gamma 90.00
loop_
_atom_site_label
_atom_site_type_symbol
_atom_site_fract_x
_atom_site_fract_y
_atom_site_fract_z
Pm1 Pm 0.0000 0.0000 0.1917
Er1 Er 0.0000 0.0000 0.4233
Zn1 Zn 0.0000 0.0000 0.0000
```

Values from the calculation:
Calculated formation energy (eV/f.u.): -0.64

Entry 4:
Material: MgAlPt2
Method: DFT, GGA-PBE
State: optimized geometry

```
data_MgAlPt2
_chemical_formula_sum 'Mg2 Al2 Pt4'
_symmetry_space_group_name_H-M 'C 1 m 1'
_symmetry_Int_Tables_number 8
_cell_length_a 9.5697
_cell_length_b 2.9429
_cell_length_c 4.5261
_cell_angle_alpha 90.00
_cell_angle_beta 104.47
_cell_angle_gamma 90.00
loop_
_symmetry_equiv_pos_as_xyz
'x,y,z'
'x,-y,z'
'x+1/2,y+1/2,z'
'x+1/2,-y+1/2,z'
loop_
_atom_site_label
_atom_site_type_symbol
_atom_site_fract_x
_atom_site_fract_y
_atom_site_fract_z
Mg1 Mg 0.0000 0.0000 0.0000
Al1 Al 0.2622 0.5000 0.3841
Pt1 Pt 0.2564 0.0000 0.8775
Pt2 Pt 0.4936 0.0000 0.4908
```

Values from the calculation:
Calculated formation energy (eV/f.u.): -3.47

Entry 5:
Material: CeSn2S4
Method: DFT, GGA-PBE
State: optimized geometry

```
data_CeSn2S4
_chemical_formula_sum 'Ce4 Sn8 S16'
_symmetry_space_group_name_H-M 'P 41 2 2'
_symmetry_Int_Tables_number 91
_cell_length_a 8.3419
_cell_length_b 8.3419
_cell_length_c 11.6609
_cell_angle_alpha 90.00
_cell_angle_beta 90.00
_cell_angle_gamma 90.00
loop_
_symmetry_equiv_pos_as_xyz
'x,y,z'
'-y,x,z+1/4'
'-x,-y,z+1/2'
'y,-x,z+3/4'
'x,-y,-z+1/2'
'-y,-x,-z+1/4'
'-x,y,-z'
'y,x,-z+3/4'
loop_
_atom_site_label
_atom_site_type_symbol
_atom_site_fract_x
_atom_site_fract_y
_atom_site_fract_z
Ce1 Ce 0.0000 0.2597 0.0000
Sn1 Sn 0.2427 0.2427 0.3750
Sn2 Sn 0.2606 0.5000 0.7500
S1 S 0.0311 0.2426 0.7643
S2 S 0.2390 0.4843 0.9993
```

Values from the calculation:
Formation energy (no corrections) (eV/atom): -0.941

Entry 6:
Material: Pr2HSe
Method: DFT, GGA-PBE
State: optimized geometry

```
data_Pr2HSe
_chemical_formula_sum 'Pr8 H4 Se4'
_symmetry_space_group_name_H-M 'P 1 21/c 1'
_symmetry_Int_Tables_number 14
_cell_length_a 8.7289
_cell_length_b 6.7281
_cell_length_c 7.1532
_cell_angle_alpha 90.00
_cell_angle_beta 110.91
_cell_angle_gamma 90.00
loop_
_symmetry_equiv_pos_as_xyz
'x,y,z'
'-x,-y,-z'
'-x,y+1/2,-z+1/2'
'x,-y+1/2,z+1/2'
loop_
_atom_site_label
_atom_site_type_symbol
_atom_site_fract_x
_atom_site_fract_y
_atom_site_fract_z
Pr1 Pr 0.1139 0.1596 0.2367
Pr2 Pr 0.3409 0.6984 0.4549
H1 H 0.1232 0.0369 0.9266
Se1 Se 0.3797 0.1057 0.6565
```

Values from the calculation:
Total energy (eV/atom): -5.07

Entry 7:
Material: Tl2CuSe2
Method: DFT, GGA-PBE
State: optimized geometry

```
data_Tl2CuSe2
_chemical_formula_sum 'Tl4 Cu2 Se4'
_symmetry_space_group_name_H-M 'P 4/m b m'
_symmetry_Int_Tables_number 127
_symmetry_space_group_name_Hall '-P 4 2ab'
_cell_length_a 6.5380
_cell_length_b 6.5380
_cell_length_c 5.9361
_cell_angle_alpha 90.00
_cell_angle_beta 90.00
_cell_angle_gamma 90.00
loop_
_atom_site_label
_atom_site_type_symbol
_atom_site_fract_x
_atom_site_fract_y
_atom_site_fract_z
Tl1 Tl 0.1905 0.3095 0.0000
Cu1 Cu 0.0000 0.0000 0.5000
Se1 Se 0.1480 0.6480 0.5000
```

Values from the calculation:
Formation energy (no corrections) (eV/atom): -0.076

Entry 8:
Material: AcSnPd6
Method: DFT, GGA-PBE
State: optimized geometry

```
data_AcSnPd6
_chemical_formula_sum 'Ac1 Sn1 Pd6'
_symmetry_space_group_name_H-M 'P 4/m m m'
_symmetry_Int_Tables_number 123
_symmetry_space_group_name_Hall '-P 4 2'
_cell_length_a 4.2356
_cell_length_b 4.2356
_cell_length_c 8.1731
_cell_angle_alpha 90.00
_cell_angle_beta 90.00
_cell_angle_gamma 90.00
loop_
_atom_site_label
_atom_site_type_symbol
_atom_site_fract_x
_atom_site_fract_y
_atom_site_fract_z
Ac1 Ac 0.0000 0.0000 0.0000
Sn1 Sn 0.0000 0.0000 0.5000
Pd1 Pd 0.0000 0.5000 0.2719
Pd2 Pd 0.5000 0.5000 0.0000
Pd3 Pd 0.5000 0.5000 0.5000
```

Values from the calculation:
Calculated formation energy (eV/f.u.): -4.75

Entry 9:
Material: AcTmSnPt
Method: DFT, GGA-PBE
State: optimized geometry

```
data_AcTmSnPt
_chemical_formula_sum 'Ac4 Tm4 Sn4 Pt4'
_symmetry_space_group_name_H-M 'F -4 3 m'
_symmetry_Int_Tables_number 216
_symmetry_space_group_name_Hall 'F -4 2 3'
_cell_length_a 7.5812
_cell_length_b 7.5812
_cell_length_c 7.5812
_cell_angle_alpha 90.00
_cell_angle_beta 90.00
_cell_angle_gamma 90.00
loop_
_atom_site_label
_atom_site_type_symbol
_atom_site_fract_x
_atom_site_fract_y
_atom_site_fract_z
Ac1 Ac 0.0000 0.0000 0.0000
Tm1 Tm 0.0000 0.0000 0.5000
Sn1 Sn 0.2500 0.2500 0.7500
Pt1 Pt 0.2500 0.2500 0.2500
```

Values from the calculation:
Calculated formation energy (eV/f.u.): -2.91

Entry 10:
Material: AcPm6Dy2Y
Method: DFT, GGA-PBE
State: optimized geometry

```
data_AcPm6Dy2Y
_chemical_formula_sum 'Ac4 Pm24 Dy8 Y4'
_symmetry_space_group_name_H-M 'C 1 2/c 1'
_symmetry_Int_Tables_number 15
_cell_length_a 9.3346
_cell_length_b 15.5103
_cell_length_c 9.7589
_cell_angle_alpha 90.00
_cell_angle_beta 96.01
_cell_angle_gamma 90.00
loop_
_symmetry_equiv_pos_as_xyz
'x,y,z'
'-x,-y,-z'
'-x,y,-z+1/2'
'x,-y,z+1/2'
'x+1/2,y+1/2,z'
'-x+1/2,-y+1/2,-z'
'-x+1/2,y+1/2,-z+1/2'
'x+1/2,-y+1/2,z+1/2'
loop_
_atom_site_label
_atom_site_type_symbol
_atom_site_fract_x
_atom_site_fract_y
_atom_site_fract_z
Ac1 Ac 0.0000 0.0268 0.2500
Pm1 Pm 0.0617 0.1865 0.9456
Pm2 Pm 0.1016 0.3912 0.1190
Pm3 Pm 0.2148 0.2280 0.3172
Dy1 Dy 0.2411 0.4444 0.4537
Y1 Y 0.0000 0.4115 0.7500
```

Values from the calculation:
Calculated formation energy (eV/f.u.): 1.18

Entry 11:
Material: LiAcCuAs2
Method: DFT, GGA-PBE
State: optimized geometry

```
data_LiAcCuAs2
_chemical_formula_sum 'Li2 Ac2 Cu2 As4'
_symmetry_space_group_name_H-M 'I -4 m 2'
_symmetry_Int_Tables_number 119
_symmetry_space_group_name_Hall 'I -4 -2'
_cell_length_a 4.2186
_cell_length_b 4.2186
_cell_length_c 11.4108
_cell_angle_alpha 90.00
_cell_angle_beta 90.00
_cell_angle_gamma 90.00
loop_
_atom_site_label
_atom_site_type_symbol
_atom_site_fract_x
_atom_site_fract_y
_atom_site_fract_z
Li1 Li 0.0000 0.0000 0.0000
Ac1 Ac 0.0000 0.5000 0.2500
Cu1 Cu 0.0000 0.0000 0.5000
As1 As 0.0000 0.5000 0.6207
```

Values from the calculation:
Calculated formation energy (eV/f.u.): -3.99

Entry 12:
Material: NaPuReN4
Method: DFT, GGA-PBE
State: optimized geometry

```
data_NaPuReN4
_chemical_formula_sum 'Na4 Pu4 Re4 N16'
_symmetry_space_group_name_H-M 'C m c m'
_symmetry_Int_Tables_number 63
_symmetry_space_group_name_Hall '-C 2c 2'
_cell_length_a 6.1587
_cell_length_b 9.7386
_cell_length_c 7.3209
_cell_angle_alpha 90.00
_cell_angle_beta 90.00
_cell_angle_gamma 90.00
loop_
_atom_site_label
_atom_site_type_symbol
_atom_site_fract_x
_atom_site_fract_y
_atom_site_fract_z
Na1 Na 0.0000 0.0000 0.0000
Pu1 Pu 0.0000 0.3151 0.2500
Re1 Re 0.0000 0.3715 0.7500
N1 N 0.0000 0.2657 0.5419
N2 N 0.2192 0.4977 0.7500
```

Values from the calculation:
Formation energy (no corrections) (eV/atom): -0.339

no.,ρ (g cm⁻³),DOS at the Fermi energy (states/eV per cell)
1,8.71,1.291
2,6.80,6.204
3,7.97,11.936
4,11.88,2.685
5,4.14,6.342
6,6.12,7.646
7,8.25,5.227
8,11.15,1.636
9,10.82,5.306
10,7.14,56.928
11,7.32,5.150
12,7.70,25.440